FeReO2F: relaxed, GGA+U.

Values from the calculation:
As for the space group: P4/mmm. The total energy is -6.154 eV per atom.

a b c (Å): 3.9885 3.9885 3.9120
angles (deg): 90.00 90.00 90.00
Closest atoms and distances in Å follow each position.
Sites, in units of the cell vectors:
Re  0.5000  0.5000  0.5000  8 O 2.79, 4 F 2.82
Fe  0.0000  0.0000  0.0000  2 F 1.96, 4 O 1.99
O  0.0000  0.5000  0.0000  2 Fe 1.99
O  0.5000  0.0000  0.0000  2 Fe 1.99
F  0.0000  0.0000  0.5000  2 Fe 1.96

FeRe2OF: relaxed, GGA+U.

Values from the calculation:
As for the space group: P4/mmm. The total energy is -6.816 eV per atom.

a b c (Å): 3.8735 5.1659 3.8735
angles (deg): 90.00 90.00 90.00
Closest atoms and distances in Å follow each position.
Sites, in units of the cell vectors:
Re  0.0000  0.0000  0.5000  2 O 1.94
Re  0.5000  0.0000  0.0000  2 O 1.94
Fe  0.0000  0.5000  0.0000  2 O 2.58, 4 F 2.74
O  0.0000  0.0000  0.0000  4 Re 1.94
F  0.5000  0.5000  0.5000  4 Fe 2.74

FeRhOF2: relaxed, GGA+U.

Values from the calculation:
As for the space group: P4/mmm. The total energy is -4.976 eV per atom. The value obtained for the excess energy over the best structure of this formula in the dataset is 149.2 meV/atom.

a b c (Å): 4.3418 4.3418 3.7910
angles (deg): 90.00 90.00 90.00
Closest atoms and distances in Å follow each position.
Sites, in units of the cell vectors:
Rh  0.0000  0.0000  0.0000  2 O 1.90
Fe  0.5000  0.5000  0.5000  8 F 2.88, 4 O 3.07
O  0.0000  0.0000  0.5000  2 Rh 1.90
F  0.0000  0.5000  0.0000  2 Rh 2.17
F  0.5000  0.0000  0.0000  2 Rh 2.17

FeRhOF2: relaxed, GGA+U.

Values from the calculation:
As for the space group: P4/mmm. The total energy is -5.125 eV per atom. The value obtained for the excess energy over the best structure of this formula in the dataset is 0.0 meV/atom.

a b c (Å): 3.9674 3.9674 3.9532
angles (deg): 90.00 90.00 90.00
Closest atoms and distances in Å follow each position.
Sites, in units of the cell vectors:
Rh  0.5000  0.5000  0.5000  8 F 2.80, 4 O 2.81
Fe  0.0000  0.0000  0.0000  2 O 1.98, 4 F 1.98
O  0.0000  0.0000  0.5000  2 Fe 1.98
F  0.0000  0.5000  0.0000  2 Fe 1.98
F  0.5000  0.0000  0.0000  2 Fe 1.98

FeRhO2F: relaxed, GGA+U.

Values from the calculation:
As for the space group: P4/mmm. The total energy is -5.445 eV per atom.

a b c (Å): 3.9493 3.9493 3.7725
angles (deg): 90.00 90.00 90.00
Closest atoms and distances in Å follow each position.
Sites, in units of the cell vectors:
Rh  0.5000  0.5000  0.5000  8 O 2.73, 4 F 2.79
Fe  0.0000  0.0000  0.0000  2 F 1.89, 4 O 1.97
O  0.0000  0.5000  0.0000  2 Fe 1.97
O  0.5000  0.0000  0.0000  2 Fe 1.97
F  0.0000  0.0000  0.5000  2 Fe 1.89

FeRhO2F: relaxed, GGA+U.

Values from the calculation:
As for the space group: P4/mmm. The total energy is -5.440 eV per atom.

a b c (Å): 3.9525 3.9525 4.0795
angles (deg): 90.00 90.00 90.00
Closest atoms and distances in Å follow each position.
Sites, in units of the cell vectors:
Rh  0.0000  0.0000  0.0000  4 O 1.98, 2 F 2.04
Fe  0.5000  0.5000  0.5000  4 F 2.79, 8 O 2.84
O  0.0000  0.5000  0.0000  2 Rh 1.98
O  0.5000  0.0000  0.0000  2 Rh 1.98
F  0.0000  0.0000  0.5000  2 Rh 2.04

FeRuO2F: relaxed, GGA+U.

Values from the calculation:
As for the space group: P4/mmm. The total energy is -5.628 eV per atom.

a b c (Å): 3.9424 3.9424 3.7818
angles (deg): 90.00 90.00 90.00
Closest atoms and distances in Å follow each position.
Sites, in units of the cell vectors:
Ru  0.5000  0.5000  0.5000  8 O 2.73, 4 F 2.79
Fe  0.0000  0.0000  0.0000  2 F 1.89, 4 O 1.97
O  0.0000  0.5000  0.0000  2 Fe 1.97
O  0.5000  0.0000  0.0000  2 Fe 1.97
F  0.0000  0.0000  0.5000  2 Fe 1.89

FeRuO2F: relaxed, GGA+U.

Values from the calculation:
As for the space group: P4/mmm. The total energy is -5.927 eV per atom.

a b c (Å): 3.8887 3.8887 4.1973
angles (deg): 90.00 90.00 90.00
Closest atoms and distances in Å follow each position.
Sites, in units of the cell vectors:
Ru  0.0000  0.0000  0.0000  4 O 1.94, 2 F 2.10
Fe  0.5000  0.5000  0.5000  4 F 2.75, 8 O 2.86
O  0.0000  0.5000  0.0000  2 Ru 1.94
O  0.5000  0.0000  0.0000  2 Ru 1.94
F  0.0000  0.0000  0.5000  2 Ru 2.10

Please write out number 7 again, unchanged.
FeRuO2F: relaxed, GGA+U.

Values from the calculation:
As for the space group: P4/mmm. The total energy is -5.628 eV per atom.

a b c (Å): 3.9424 3.9424 3.7818
angles (deg): 90.00 90.00 90.00
Closest atoms and distances in Å follow each position.
Sites, in units of the cell vectors:
Ru  0.5000  0.5000  0.5000  8 O 2.73, 4 F 2.79
Fe  0.0000  0.0000  0.0000  2 F 1.89, 4 O 1.97
O  0.0000  0.5000  0.0000  2 Fe 1.97
O  0.5000  0.0000  0.0000  2 Fe 1.97
F  0.0000  0.0000  0.5000  2 Fe 1.89